# Sc2Zn (PBE, relaxed)
# Crystal system: orthorhombic
# Volume: 247 Å³/cell
# Formation enthalpy at 0 K: -5.615 kcal/mol of atoms
data_Sc2Zn
_chemical_formula_sum 'Sc8 Zn4'
_cell_length_a 3.369
_cell_length_b 15.210
_cell_length_c 4.824
_cell_angle_alpha 90.00
_cell_angle_beta 90.00
_cell_angle_gamma 90.00
_symmetry_space_group_name_H-M 'C m c m'
_symmetry_Int_Tables_number 63
_symmetry_space_group_name_Hall '-C 2c 2'
loop_
_atom_site_label
_atom_site_fract_x
_atom_site_fract_y
_atom_site_fract_z
_atom_site_occupancy
Sc1 0.000 0.083 0.250 1
Sc2 0.000 0.224 0.750 1
Zn1 0.000 0.428 0.250 1

# Y2CI (PBE, relaxed)
# Crystal system: cubic
# Formation energy (no corrections): 0.36 eV/atom
# Volume: 348 Å³/cell
data_Y2CI
_chemical_formula_sum 'Y8 C4 I4'
_cell_length_a 7.031
_cell_length_b 7.031
_cell_length_c 7.031
_cell_angle_alpha 90.00
_cell_angle_beta 90.00
_cell_angle_gamma 90.00
_symmetry_space_group_name_H-M 'F m -3 m'
_symmetry_Int_Tables_number 225
_symmetry_space_group_name_Hall '-F 4 2 3'
loop_
_atom_site_label
_atom_site_fract_x
_atom_site_fract_y
_atom_site_fract_z
_atom_site_occupancy
Y1 0.250 0.250 0.250 1
C1 0.000 0.000 0.000 1
I1 0.000 0.000 0.500 1

# BaSiRu2 (PBE, relaxed)
# Crystal system: trigonal
# Formation energy (no corrections): -0.15 eV/atom
# Volume: 280 Å³/cell
data_BaSiRu2
_chemical_formula_sum 'Ba3 Si3 Ru6'
_cell_length_a 4.2749
_cell_length_b 4.2749
_cell_length_c 17.6640
_cell_angle_alpha 90.00
_cell_angle_beta 90.00
_cell_angle_gamma 120.00
_symmetry_space_group_name_H-M 'R 3 m'
_symmetry_Int_Tables_number 160
_symmetry_space_group_name_Hall 'R 3 -2"'
loop_
_atom_site_label
_atom_site_fract_x
_atom_site_fract_y
_atom_site_fract_z
_atom_site_occupancy
Ba1 0.0000 0.0000 0.0000 1
Si1 0.0000 0.0000 0.8085 1
Ru1 0.0000 0.0000 0.1876 1
Ru2 0.0000 0.0000 0.4929 1

# Sc2PtW (PBE, relaxed)
# Crystal system: monoclinic
# Energy above the lowest structure with this stoichiometry: 0.044 eV/atom
# Volume: 148 Å³/cell
# Formation enthalpy at 0 K: -8.075 kcal/mol of atoms
data_Sc2PtW
_chemical_formula_sum 'Sc4 Pt2 W2'
_cell_length_a 10.546
_cell_length_b 2.934
_cell_length_c 5.186
_cell_angle_alpha 90.00
_cell_angle_beta 112.41
_cell_angle_gamma 90.00
_symmetry_space_group_name_H-M 'C 1 m 1'
_symmetry_Int_Tables_number 8
loop_
_symmetry_equiv_pos_as_xyz
'x,y,z'
'x,-y,z'
'x+1/2,y+1/2,z'
'x+1/2,-y+1/2,z'
loop_
_atom_site_label
_atom_site_fract_x
_atom_site_fract_y
_atom_site_fract_z
_atom_site_occupancy
Sc1 0.000 0.000 0.000 1
Sc2 0.204 0.000 0.617 1
Pt1 0.465 0.000 0.523 1
W1 0.260 0.500 0.137 1

no.,Fermi-level density of states (states/eV/f.u.)
1,3.398
2,3.847
3,2.824
4,2.085